Record 1
# Ti6MnNi

An optimized crystal structure of Ti6MnNi (GGA-PBE, Alexandria).

abc: 5.5288 5.5288 5.5725
angles: 103.54 103.54 120.58
With the nearest neighbours (Å) after each atom.
Fractional positions:
Ti1 0.0360 0.4492 0.2552  1 Ni 2.44, 1 Mn 2.44
Ti2 0.2508 0.2508 0.7505  1 Mn 2.37, 1 Ni 2.37
Ti3 0.4492 0.0360 0.2552  1 Ni 2.44, 1 Mn 2.44
Ti4 0.5508 0.9640 0.7448  1 Ni 2.44, 1 Mn 2.44
Ti5 0.7492 0.7492 0.2495  1 Mn 2.37, 1 Ni 2.37
Ti6 0.9640 0.5508 0.7448  1 Ni 2.44, 1 Mn 2.44
Mn1 0.5000 0.5000 0.5000  6 Ti 2.37-2.44
Ni1 0.0000 0.0000 0.0000  6 Ti 2.37-2.44

Calculated values
Space group = C2/m (12)
Calculated formation energy = 0.152 eV/atom

=====

Record 2
# Ga12Ag6Hg

An optimized crystal structure of Ga12Ag6Hg (GGA-PBE, Alexandria).

abc: 7.2961 7.2961 7.2961
angles: 97.23 97.23 97.23
With the nearest neighbours (Å) after each atom.
Fractional positions:
Ga1 0.0046 0.3078 0.8599  4 Ga 2.67-2.80, 4 Ag 2.68-2.91
Ga2 0.1401 0.9954 0.6922  4 Ga 2.67-2.80, 4 Ag 2.68-2.91
Ga3 0.1709 0.6583 0.4753  2 Ga 2.67-2.80, 2 Ag 2.73-2.75, 1 Hg 2.79
Ga4 0.3078 0.8599 0.0046  4 Ga 2.67-2.80, 4 Ag 2.68-2.91
Ga5 0.3417 0.5247 0.8291  2 Ga 2.67-2.80, 2 Ag 2.73-2.75, 1 Hg 2.79
Ga6 0.4753 0.1709 0.6583  2 Ga 2.67-2.80, 2 Ag 2.73-2.75, 1 Hg 2.79
Ga7 0.5247 0.8291 0.3417  2 Ga 2.67-2.80, 2 Ag 2.73-2.75, 1 Hg 2.79
Ga8 0.6583 0.4753 0.1709  2 Ga 2.67-2.80, 2 Ag 2.73-2.75, 1 Hg 2.79
Ga9 0.6922 0.1401 0.9954  4 Ga 2.67-2.80, 4 Ag 2.68-2.91
Ga10 0.8291 0.3417 0.5247  2 Ga 2.67-2.80, 2 Ag 2.73-2.75, 1 Hg 2.79
Ga11 0.8599 0.0046 0.3078  4 Ga 2.67-2.80, 4 Ag 2.68-2.91
Ga12 0.9954 0.6922 0.1401  4 Ga 2.67-2.80, 4 Ag 2.68-2.91
Ag1 0.0281 0.3373 0.2324  7 Ga 2.68-3.00, 2 Ag 2.98
Ag2 0.2324 0.0281 0.3373  7 Ga 2.68-3.00, 2 Ag 2.98
Ag3 0.3373 0.2324 0.0281  7 Ga 2.68-3.00, 2 Ag 2.98
Ag4 0.6627 0.7676 0.9719  7 Ga 2.68-3.00, 2 Ag 2.98
Ag5 0.7676 0.9719 0.6627  7 Ga 2.68-3.00, 2 Ag 2.98
Ag6 0.9719 0.6627 0.7676  7 Ga 2.68-3.00, 2 Ag 2.98
Hg1 0.5000 0.5000 0.5000  6 Ga 2.79

Calculated values
Space group = R-3 (148)
Calculated formation energy = 0.065 eV/atom

=====

Record 3
# NaScAgHg2

An optimized crystal structure of NaScAgHg2 (GGA-PBE, Alexandria).

abc: 5.1417 5.1417 4.8969
angles: 90.00 90.00 90.00
With the nearest neighbours (Å) after each atom.
Fractional positions:
Na1 0.0000 0.0000 0.0000  2 Ag 2.45, 4 Hg 2.57
Sc1 0.5000 0.5000 0.5000  8 Hg 3.55, 4 Ag 3.64
Ag1 0.0000 0.0000 0.5000  2 Na 2.45
Hg1 0.0000 0.5000 0.0000  2 Na 2.57
Hg2 0.5000 0.0000 0.0000  2 Na 2.57

Calculated values
Space group = P4/mmm (123)
Calculated formation energy = 0.477 eV/atom

=====

Record 4
# MnCdP3

An optimized crystal structure of MnCdP3 (GGA-PBE, Alexandria).

abc: 4.4754 4.4754 4.4754
angles: 90.00 90.00 90.00
With the nearest neighbours (Å) after each atom.
Fractional positions:
Mn1 0.0000 0.0000 0.0000  6 P 2.24
Cd1 0.5000 0.5000 0.5000  12 P 3.16
P1 0.0000 0.0000 0.5000  2 Mn 2.24
P2 0.0000 0.5000 0.0000  2 Mn 2.24
P3 0.5000 0.0000 0.0000  2 Mn 2.24

Calculated values
Space group = Pm-3m (221)
Calculated formation energy = 0.426 eV/atom

=====

Record 5
# FeCo5Ni

An optimized crystal structure of FeCo5Ni (GGA-PBE, Alexandria).

abc: 6.0080 6.0080 4.8372
angles: 101.35 101.35 97.85
With the nearest neighbours (Å) after each atom.
Fractional positions:
Fe1 0.1463 0.8537 0.7500  7 Co 2.35-2.61
Fe2 0.8537 0.1463 0.2500  7 Co 2.35-2.61
Co1 0.1132 0.8868 0.2500  2 Ni 2.34, 3 Fe 2.35-2.44, 4 Co 2.38-2.58
Co2 0.2378 0.2755 0.6503  6 Co 2.35-2.58, 1 Ni 2.54, 1 Fe 2.61
Co3 0.2755 0.2378 0.1503  6 Co 2.35-2.58, 1 Ni 2.54, 1 Fe 2.61
Co4 0.3371 0.6049 0.4753  7 Co 2.35-2.58, 1 Fe 2.37, 1 Ni 2.41
Co5 0.3951 0.6629 0.0247  7 Co 2.35-2.58, 1 Fe 2.37, 1 Ni 2.41
Co6 0.6049 0.3371 0.9753  7 Co 2.35-2.58, 1 Fe 2.37, 1 Ni 2.41
Co7 0.6629 0.3951 0.5247  7 Co 2.35-2.58, 1 Fe 2.37, 1 Ni 2.41
Co8 0.7245 0.7622 0.8497  6 Co 2.35-2.58, 1 Ni 2.54, 1 Fe 2.61
Co9 0.7622 0.7245 0.3497  6 Co 2.35-2.58, 1 Ni 2.54, 1 Fe 2.61
Co10 0.8868 0.1132 0.7500  2 Ni 2.34, 3 Fe 2.35-2.44, 4 Co 2.38-2.58
Ni1 0.0000 0.5000 0.0000  6 Co 2.34-2.54
Ni2 0.5000 0.0000 0.5000  6 Co 2.34-2.54

Calculated values
Space group = C2/c (15)
Calculated formation energy = 0.211 eV/atom

=====

Record 6
# Y16Ho6Er7

An optimized crystal structure of Y16Ho6Er7 (GGA-PBE, Alexandria).

abc: 11.1045 11.1045 11.1045
angles: 60.00 60.00 60.00
With the nearest neighbours (Å) after each atom.
Fractional positions:
Y1 0.0457 0.6514 0.6514  3 Er 3.23, 3 Ho 3.55, 3 Y 3.62
Y2 0.1220 0.1220 0.1220  4 Er 3.32-3.43, 3 Y 3.62, 3 Ho 3.63
Y3 0.1220 0.1220 0.6340  4 Er 3.32-3.43, 3 Y 3.62, 3 Ho 3.63
Y4 0.1220 0.6340 0.1220  4 Er 3.32-3.43, 3 Y 3.62, 3 Ho 3.63
Y5 0.3486 0.3486 0.3486  3 Er 3.23, 3 Ho 3.55, 3 Y 3.62
Y6 0.3486 0.3486 0.9543  3 Er 3.23, 3 Ho 3.55, 3 Y 3.62
Y7 0.3486 0.9543 0.3486  3 Er 3.23, 3 Ho 3.55, 3 Y 3.62
Y8 0.3660 0.8780 0.8780  4 Er 3.32-3.43, 3 Y 3.62, 3 Ho 3.63
Y9 0.6340 0.1220 0.1220  4 Er 3.32-3.43, 3 Y 3.62, 3 Ho 3.63
Y10 0.6514 0.0457 0.6514  3 Er 3.23, 3 Ho 3.55, 3 Y 3.62
Y11 0.6514 0.6514 0.0457  3 Er 3.23, 3 Ho 3.55, 3 Y 3.62
Y12 0.6514 0.6514 0.6514  3 Er 3.23, 3 Ho 3.55, 3 Y 3.62
Y13 0.8780 0.3660 0.8780  4 Er 3.32-3.43, 3 Y 3.62, 3 Ho 3.63
Y14 0.8780 0.8780 0.3660  4 Er 3.32-3.43, 3 Y 3.62, 3 Ho 3.63
Y15 0.8780 0.8780 0.8780  4 Er 3.32-3.43, 3 Y 3.62, 3 Ho 3.63
Y16 0.9543 0.3486 0.3486  3 Er 3.23, 3 Ho 3.55, 3 Y 3.62
Ho1 0.2757 0.2757 0.7243  8 Y 3.55-3.63, 4 Er 3.95
Ho2 0.2757 0.7243 0.2757  8 Y 3.55-3.63, 4 Er 3.95
Ho3 0.2757 0.7243 0.7243  8 Y 3.55-3.63, 4 Er 3.95
Ho4 0.7243 0.2757 0.2757  8 Y 3.55-3.63, 4 Er 3.95
Ho5 0.7243 0.2757 0.7243  8 Y 3.55-3.63, 4 Er 3.95
Ho6 0.7243 0.7243 0.2757  8 Y 3.55-3.63, 4 Er 3.95
Er1 0.0000 0.0000 0.0000  8 Y 3.32
Er2 0.0000 0.0000 0.5000  8 Y 3.23-3.43
Er3 0.0000 0.5000 0.0000  8 Y 3.23-3.43
Er4 0.0000 0.5000 0.5000  8 Y 3.23-3.43
Er5 0.5000 0.0000 0.0000  8 Y 3.23-3.43
Er6 0.5000 0.0000 0.5000  8 Y 3.23-3.43
Er7 0.5000 0.5000 0.0000  8 Y 3.23-3.43

Calculated values
Space group = Fm-3m (225)
Calculated formation energy = 0.248 eV/atom

=====

Record 7
# ScTiNi2

An optimized crystal structure of ScTiNi2 (GGA-PBE, Alexandria).

abc: 3.0561 3.0561 6.3664
angles: 90.00 90.00 90.00
With the nearest neighbours (Å) after each atom.
Fractional positions:
Sc1 0.0000 0.0000 0.0000  8 Ni 2.82, 4 Sc 3.06
Ti1 0.0000 0.0000 0.5000  8 Ni 2.56
Ni1 0.5000 0.5000 0.2846  4 Ti 2.56, 1 Ni 2.74, 4 Sc 2.82
Ni2 0.5000 0.5000 0.7154  4 Ti 2.56, 1 Ni 2.74, 4 Sc 2.82

Calculated values
Space group = P4/mmm (123)
Calculated formation energy = -0.432 eV/atom

=====

Record 8
# La2SiAu

An optimized crystal structure of La2SiAu (GGA-PBE, Alexandria).

abc: 3.5227 3.9400 7.4959
angles: 90.00 90.00 90.00
With the nearest neighbours (Å) after each atom.
Fractional positions:
La1 0.0000 0.0000 0.2366  4 Si 3.18, 4 Au 3.30, 3 La 3.52-3.55
La2 0.0000 0.0000 0.7634  4 Si 3.18, 4 Au 3.30, 3 La 3.52-3.55
Si1 0.5000 0.5000 0.0000  8 La 3.18, 2 Si 3.52
Au1 0.5000 0.5000 0.5000  8 La 3.30, 2 Au 3.52

Calculated values
Space group = Pmmm (47)
Formation energy from raw total energies = -0.6674 eV per atom